Record 1
# SrCa2Tl, optimized geometry, DFT GGA-PBE
# Fermi-level density of states in states/eV per cell: 7.48
# E_tot in eV/atom: -2.2651
# Calculated volume in A^3/atom: 38.85
# DFT formation energy in meV/atom: -252
# Excess energy over the best structure of this formula in the dataset in eV/atom: 0.000
data_SrCa2Tl
_chemical_formula_sum 'Sr2 Ca4 Tl2'
_space_group_name_H-M_alt 'P 1 21/m 1'
_space_group_IT_number 11
_cell_length_a 5.286
_cell_length_b 9.434
_cell_length_c 6.765
_cell_angle_alpha 90.00
_cell_angle_beta 112.88
_cell_angle_gamma 90.00
loop_
_space_group_symop_operation_xyz
'x,y,z'
'-x,-y,-z'
'-x,y+1/2,-z'
'x,-y+1/2,z'
loop_
_atom_site_label
_atom_site_fract_x
_atom_site_fract_y
_atom_site_fract_z
Sr1 0.060 0.250 0.120
Ca1 0.347 0.056 0.695
Tl1 0.225 0.750 0.450

Record 2
# SrCa2TmTl4, optimized geometry, DFT GGA-PBE
# Fermi-level density of states in states/eV per cell: 13.70
# E_tot in eV/atom: -2.8387
# Calculated volume in A^3/atom: 29.78
# DFT formation energy in meV/atom: -386
data_SrCa2TmTl4
_chemical_formula_sum 'Sr3 Ca6 Tm3 Tl12'
_space_group_name_H-M_alt 'R -3 m'
_space_group_IT_number 166
_space_group_name_Hall '-R 3 2"'
_cell_length_a 5.5146
_cell_length_b 5.5146
_cell_length_c 27.1391
_cell_angle_alpha 90.00
_cell_angle_beta 90.00
_cell_angle_gamma 120.00
loop_
_atom_site_label
_atom_site_fract_x
_atom_site_fract_y
_atom_site_fract_z
Sr1 0.0000 0.0000 0.0000
Ca1 0.0000 0.0000 0.2494
Tm1 0.0000 0.0000 0.5000
Tl1 0.0000 0.0000 0.1273
Tl2 0.0000 0.0000 0.3804

Record 3
# SrCaY2Tl4, optimized geometry, DFT GGA-PBE
# Fermi-level density of states in states/eV per cell: 19.84
# E_tot in eV/atom: -3.6183
# Calculated volume in A^3/atom: 29.50
# DFT formation energy in meV/atom: -359
data_SrCaY2Tl4
_chemical_formula_sum 'Sr3 Ca3 Y6 Tl12'
_space_group_name_H-M_alt 'R -3 m'
_space_group_IT_number 166
_space_group_name_Hall '-R 3 2"'
_cell_length_a 5.4997
_cell_length_b 5.4997
_cell_length_c 27.0307
_cell_angle_alpha 90.00
_cell_angle_beta 90.00
_cell_angle_gamma 120.00
loop_
_atom_site_label
_atom_site_fract_x
_atom_site_fract_y
_atom_site_fract_z
Sr1 0.0000 0.0000 0.0000
Ca1 0.0000 0.0000 0.5000
Y1 0.0000 0.0000 0.2483
Tl1 0.0000 0.0000 0.1265
Tl2 0.0000 0.0000 0.3769

Number 1: magnetization 0.000 μB/atom. Number 2: magnetization 0.000 μB/atom. Number 3: magnetization 0.000 μB/atom.